# GGA-PBE CaHg2BiPb, relaxed
# Volume in Å³/f.u.: 144.0
# Formation energy from the elements in meV/atom: -284
# Crystal system: monoclinic
data_CaHg2BiPb
_symmetry_space_group_name_H-M 'P 1'
_symmetry_Int_Tables_number 1
_cell_length_a 7.899
_cell_length_b 4.570
_cell_length_c 7.980
_cell_angle_alpha 90.00
_cell_angle_beta 91.45
_cell_angle_gamma 90.00
loop_
_symmetry_equiv_pos_as_xyz
'x,y,z'
loop_
_atom_site_label
_atom_site_type_symbol
_atom_site_fract_x
_atom_site_fract_y
_atom_site_fract_z
_atom_site_occupancy
Ca1 Ca 0.224 0.250 0.267 1
Ca2 Ca 0.776 0.750 0.733 1
Hg1 Hg 0.052 0.250 0.852 1
Hg2 Hg 0.145 0.750 0.558 1
Hg3 Hg 0.855 0.250 0.442 1
Hg4 Hg 0.948 0.750 0.148 1
Bi1 Bi 0.459 0.250 0.648 1
Bi2 Bi 0.541 0.750 0.352 1
Pb1 Pb 0.348 0.750 0.946 1
Pb2 Pb 0.652 0.250 0.054 1

---

# GGA-PBE CaCdPb, relaxed
# Volume in Å³/f.u.: 84.8
# Formation energy from the elements in meV/atom: -336
# Crystal system: monoclinic
data_CaCdPb
_symmetry_space_group_name_H-M 'P 1'
_symmetry_Int_Tables_number 1
_cell_length_a 5.666
_cell_length_b 5.666
_cell_length_c 6.966
_cell_angle_alpha 102.92
_cell_angle_beta 102.92
_cell_angle_gamma 51.53
loop_
_symmetry_equiv_pos_as_xyz
'x,y,z'
loop_
_atom_site_label
_atom_site_type_symbol
_atom_site_fract_x
_atom_site_fract_y
_atom_site_fract_z
_atom_site_occupancy
Ca1 Ca 0.157 0.157 0.314 1
Ca2 Ca 0.843 0.843 0.686 1
Cd1 Cd 0.169 0.169 0.826 1
Cd2 Cd 0.831 0.831 0.174 1
Pb1 Pb 0.500 0.500 0.000 1
Pb2 Pb 0.500 0.500 0.500 1

---

# GGA-PBE Tm3Cd2Pd8, relaxed
# Volume in Å³/f.u.: 253.0
# Formation energy from the elements in meV/atom: -532
# Crystal system: trigonal
data_Tm3Cd2Pd8
_symmetry_space_group_name_H-M 'P 1'
_symmetry_Int_Tables_number 1
_cell_length_a 10.530
_cell_length_b 10.530
_cell_length_c 10.530
_cell_angle_alpha 29.65
_cell_angle_beta 29.65
_cell_angle_gamma 29.65
loop_
_symmetry_equiv_pos_as_xyz
'x,y,z'
loop_
_atom_site_label
_atom_site_type_symbol
_atom_site_fract_x
_atom_site_fract_y
_atom_site_fract_z
_atom_site_occupancy
Tm1 Tm 0.000 0.000 0.000 1
Tm2 Tm 0.189 0.189 0.189 1
Tm3 Tm 0.811 0.811 0.811 1
Cd1 Cd 0.366 0.366 0.366 1
Cd2 Cd 0.634 0.634 0.634 1
Pd1 Pd 0.224 0.728 0.728 1
Pd2 Pd 0.272 0.272 0.776 1
Pd3 Pd 0.272 0.776 0.272 1
Pd4 Pd 0.280 0.280 0.280 1
Pd5 Pd 0.720 0.720 0.720 1
Pd6 Pd 0.728 0.224 0.728 1
Pd7 Pd 0.728 0.728 0.224 1
Pd8 Pd 0.776 0.272 0.272 1

---

# GGA-PBE GeRh, relaxed
# Volume in Å³/f.u.: 51.0
# Formation energy from the elements in meV/atom: 93
# Crystal system: cubic
data_GeRh
_symmetry_space_group_name_H-M 'P 1'
_symmetry_Int_Tables_number 1
_cell_length_a 6.740
_cell_length_b 6.740
_cell_length_c 6.740
_cell_angle_alpha 90.00
_cell_angle_beta 90.00
_cell_angle_gamma 90.00
loop_
_symmetry_equiv_pos_as_xyz
'x,y,z'
loop_
_atom_site_label
_atom_site_type_symbol
_atom_site_fract_x
_atom_site_fract_y
_atom_site_fract_z
_atom_site_occupancy
Ge1 Ge 0.000 0.250 0.500 1
Ge2 Ge 0.000 0.750 0.500 1
Ge3 Ge 0.250 0.500 0.000 1
Ge4 Ge 0.500 0.000 0.250 1
Ge5 Ge 0.500 0.000 0.750 1
Ge6 Ge 0.750 0.500 0.000 1
Rh1 Rh 0.000 0.500 0.250 1
Rh2 Rh 0.000 0.500 0.750 1
Rh3 Rh 0.250 0.000 0.500 1
Rh4 Rh 0.500 0.250 0.000 1
Rh5 Rh 0.500 0.750 0.000 1
Rh6 Rh 0.750 0.000 0.500 1

---

- The highest volume belongs to which entry?
  Tm3Cd2Pd8